# 1
Y3Pb5: optimized geometry, GGA-PBEsol.

a b c (Å): 4.621 6.872 6.872
angles (deg): 95.74 90.00 90.00
Fractional coordinates of all 8 atoms:
Pb1 0.000 0.500 0.000
Pb2 0.500 0.729 0.729
Pb3 0.500 0.271 0.271
Pb4 0.000 0.000 0.500
Pb5 0.000 0.000 0.000
Y1 0.000 0.500 0.500
Y2 0.500 0.220 0.780
Y3 0.500 0.780 0.220

Properties
Density in g/cm3: 9.97
Calculated total energy in eV per atom: -5.506
Energy of formation in eV/f.u.: -3.6

---

# 2
YZn2Pb: optimized geometry, GGA-PBEsol.

a b c (Å): 4.955 4.955 4.955
angles (deg): 60.00 60.00 60.00
Fractional coordinates of all 4 atoms:
Zn1 0.750 0.750 0.750
Zn2 0.000 0.000 0.000
Y1 0.250 0.250 0.250
Pb1 0.500 0.500 0.500

Properties
Density in g/cm3: 8.24
Calculated total energy in eV per atom: -3.568
Energy of formation in eV/f.u.: -0.3

---

# 3
YZn2Pb: optimized geometry, GGA-PBEsol.

a b c (Å): 4.361 4.353 4.353
angles (deg): 90.00 90.00 90.00
Fractional coordinates of all 4 atoms:
Y1 0.500 0.000 0.000
Pb1 0.500 0.500 0.500
Zn1 0.000 0.500 0.000
Zn2 0.000 0.000 0.500

Properties
Density in g/cm3: 8.58
Calculated total energy in eV per atom: -3.800
Energy of formation in eV/f.u.: -1.2